{"formula": "K6Hg2OF", "functional": "PBE-GGA", "state": "relaxed", "total_energy_ev_per_atom": -2.316, "raw_formation_energy_ev_per_atom": -0.914, "density_g_cm3": 3.27, "magnetic_moment_mub_per_atom": 0.000, "volume_a3_per_cell": 682.1, "lattice": [[3.8983, 2.2507, 12.9575], [-3.8983, 2.2507, 12.9575], [0.0000, -4.5014, 12.9575]], "species": ["K", "K", "K", "K", "K", "K", "K", "K", "K", "K", "K", "K", "Hg", "Hg", "Hg", "Hg", "O", "O", "F", "F"], "fractional_positions": [[0.1083, 0.1083, 0.6587], [0.1083, 0.6587, 0.1083], [0.2173, 0.7002, 0.7002], [0.2998, 0.2998, 0.7827], [0.2998, 0.7827, 0.2998], [0.3413, 0.8917, 0.8917], [0.6587, 0.1083, 0.1083], [0.7002, 0.2173, 0.7002], [0.7002, 0.7002, 0.2173], [0.7827, 0.2998, 0.2998], [0.8917, 0.3413, 0.8917], [0.8917, 0.8917, 0.3413], [0.2122, 0.2122, 0.2122], [0.3717, 0.3717, 0.3717], [0.6283, 0.6283, 0.6283], [0.7878, 0.7878, 0.7878], [0.0000, 0.0000, 0.0000], [0.5000, 0.5000, 0.5000], [0.0904, 0.0904, 0.0904], [0.9096, 0.9096, 0.9096]]}

=====

{"formula": "KHgOF2", "functional": "PBE-GGA", "state": "relaxed", "total_energy_ev_per_atom": -2.416, "raw_formation_energy_ev_per_atom": -0.396, "density_g_cm3": 5.11, "magnetic_moment_mub_per_atom": 0.000, "volume_a3_per_cell": 95.5, "lattice": [[4.6695, 0.0000, 0.0000], [0.0000, 4.6695, 0.0000], [0.0000, 0.0000, 4.3799]], "species": ["K", "Hg", "O", "F", "F"], "fractional_positions": [[0.0000, 0.0000, 0.0000], [0.5000, 0.5000, 0.5000], [0.0000, 0.0000, 0.5000], [0.0000, 0.5000, 0.0000], [0.5000, 0.0000, 0.0000]]}

=====

{"formula": "KHgOF2", "functional": "PBE-GGA", "state": "relaxed", "total_energy_ev_per_atom": -3.359, "raw_formation_energy_ev_per_atom": -1.339, "density_g_cm3": 5.39, "magnetic_moment_mub_per_atom": 0.098, "volume_a3_per_cell": 90.4, "lattice": [[4.6833, 0.0000, 0.0000], [0.0000, 4.6833, 0.0000], [0.0000, 0.0000, 4.1236]], "species": ["K", "Hg", "O", "F", "F"], "fractional_positions": [[0.0000, 0.0000, 0.0000], [0.5000, 0.5000, 0.5000], [0.5000, 0.5000, 0.0000], [0.0000, 0.5000, 0.5000], [0.5000, 0.0000, 0.5000]]}

=====

{"formula": "KPaHgF6", "functional": "PBE-GGA", "state": "relaxed", "total_energy_ev_per_atom": -5.631, "raw_formation_energy_ev_per_atom": -3.173, "density_g_cm3": 4.41, "magnetic_moment_mub_per_atom": 0.000, "volume_a3_per_cell": 220.1, "lattice": [[6.8222, 0.0000, 0.0000], [-3.4111, 5.9082, 0.0000], [0.0000, 0.0000, 5.4603]], "species": ["K", "Pa", "Hg", "F", "F", "F", "F", "F", "F"], "fractional_positions": [[0.0000, 0.0000, 0.0000], [0.6667, 0.3333, 0.5000], [0.3333, 0.6667, 0.5000], [0.3931, 0.1204, 0.7335], [0.3931, 0.2727, 0.2665], [0.7273, 0.1204, 0.2665], [0.7273, 0.6069, 0.7335], [0.8796, 0.2727, 0.7335], [0.8796, 0.6069, 0.2665]]}

=====

{"formula": "K2HgPbF8", "functional": "PBE-GGA", "state": "relaxed", "total_energy_ev_per_atom": -3.935, "raw_formation_energy_ev_per_atom": -2.170, "density_g_cm3": 4.74, "magnetic_moment_mub_per_atom": 0.000, "volume_a3_per_cell": 223.4, "lattice": [[4.6579, 0.0000, 0.0000], [0.0000, 8.0247, 0.0000], [-0.7259, 0.0000, 5.9760]], "species": ["K", "K", "Hg", "Pb", "F", "F", "F", "F", "F", "F", "F", "F"], "fractional_positions": [[0.0000, 0.2430, 0.0000], [0.0000, 0.7570, 0.0000], [0.5000, 0.5000, 0.5000], [0.5000, 0.0000, 0.5000], [0.1027, 0.0000, 0.2957], [0.1419, 0.5000, 0.2692], [0.4102, 0.2011, 0.7141], [0.4102, 0.7989, 0.7141], [0.5898, 0.2011, 0.2859], [0.5898, 0.7989, 0.2859], [0.8581, 0.5000, 0.7308], [0.8973, 0.0000, 0.7043]]}

=====

{"formula": "KHgPbF6", "functional": "PBE-GGA", "state": "relaxed", "total_energy_ev_per_atom": -3.834, "raw_formation_energy_ev_per_atom": -2.019, "density_g_cm3": 5.22, "magnetic_moment_mub_per_atom": 0.050, "volume_a3_per_cell": 357.2, "lattice": [[6.2760, 0.0000, 0.0000], [-3.1380, 5.4352, 0.0000], [0.0000, 0.0000, 10.4702]], "species": ["K", "K", "Hg", "Hg", "Pb", "Pb", "F", "F", "F", "F", "F", "F", "F", "F", "F", "F", "F", "F"], "fractional_positions": [[0.0000, 0.0000, 0.0000], [0.0000, 0.0000, 0.5000], [0.3333, 0.6667, 0.2500], [0.6667, 0.3333, 0.7500], [0.3333, 0.6667, 0.7500], [0.6667, 0.3333, 0.2500], [0.0109, 0.3700, 0.6388], [0.0109, 0.6410, 0.8612], [0.3590, 0.3700, 0.8612], [0.3590, 0.9891, 0.6388], [0.3700, 0.0109, 0.1388], [0.3700, 0.3590, 0.3612], [0.6300, 0.6410, 0.6388], [0.6300, 0.9891, 0.8612], [0.6410, 0.0109, 0.3612], [0.6410, 0.6300, 0.1388], [0.9891, 0.3590, 0.1388], [0.9891, 0.6300, 0.3612]]}